Arrangement P

# ReAsCl, optimized geometry, DFT GGA-PBE
data_ReAsCl
_chemical_formula_sum 'Re4 As4 Cl4'
_cell_length_a 6.341
_cell_length_b 6.341
_cell_length_c 6.341
_cell_angle_alpha 90.00
_cell_angle_beta 90.00
_cell_angle_gamma 90.00
_symmetry_space_group_name_H-M 'F -4 3 m'
_symmetry_Int_Tables_number 216
_symmetry_space_group_name_Hall 'F -4 2 3'
loop_
_atom_site_label
_atom_site_type_symbol
_atom_site_fract_x
_atom_site_fract_y
_atom_site_fract_z
_atom_site_occupancy
Re1 Re 0.000 0.000 0.000 1
As1 As 0.250 0.250 0.250 1
Cl1 Cl 0.000 0.000 0.500 1
# V (Å³/cell): 255.0
# Magnetic moment (μB/atom): 0.898

---

Arrangement Q

# ReAsCl, optimized geometry, DFT GGA-PBE
data_ReAsCl
_chemical_formula_sum 'Re4 As4 Cl4'
_cell_length_a 6.051
_cell_length_b 6.051
_cell_length_c 6.051
_cell_angle_alpha 90.00
_cell_angle_beta 90.00
_cell_angle_gamma 90.00
_symmetry_space_group_name_H-M 'F -4 3 m'
_symmetry_Int_Tables_number 216
_symmetry_space_group_name_Hall 'F -4 2 3'
loop_
_atom_site_label
_atom_site_type_symbol
_atom_site_fract_x
_atom_site_fract_y
_atom_site_fract_z
_atom_site_occupancy
Re1 Re 0.000 0.000 0.000 1
As1 As 0.250 0.250 0.250 1
Cl1 Cl 0.250 0.250 0.750 1
# V (Å³/cell): 221.5
# Magnetic moment (μB/atom): 0.308

---

Arrangement R

# ReAsCl, optimized geometry, DFT GGA-PBE
data_ReAsCl
_chemical_formula_sum 'Re4 As4 Cl4'
_cell_length_a 2.998
_cell_length_b 5.224
_cell_length_c 15.593
_cell_angle_alpha 90.00
_cell_angle_beta 90.00
_cell_angle_gamma 90.00
_symmetry_space_group_name_H-M 'F m m 2'
_symmetry_Int_Tables_number 42
_symmetry_space_group_name_Hall 'F 2 -2'
loop_
_atom_site_label
_atom_site_type_symbol
_atom_site_fract_x
_atom_site_fract_y
_atom_site_fract_z
_atom_site_occupancy
Re1 Re 0.000 0.000 0.000 1
As1 As 0.000 0.000 0.630 1
Cl1 Cl 0.000 0.000 0.374 1
# V (Å³/cell): 244.2
# Magnetic moment (μB/atom): 0.000

---

Arrangement S

# ReAsCl, optimized geometry, DFT GGA-PBE
data_ReAsCl
_chemical_formula_sum 'Re1 As1 Cl1'
_cell_length_a 3.0906
_cell_length_b 3.0906
_cell_length_c 7.6697
_cell_angle_alpha 90.00
_cell_angle_beta 90.00
_cell_angle_gamma 120.00
_symmetry_space_group_name_H-M 'P 3 m 1'
_symmetry_Int_Tables_number 156
_symmetry_space_group_name_Hall 'P 3 -2"'
loop_
_atom_site_label
_atom_site_type_symbol
_atom_site_fract_x
_atom_site_fract_y
_atom_site_fract_z
_atom_site_occupancy
Re1 Re 0.0000 0.0000 0.0000 1
As1 As 0.6667 0.3333 0.2351 1
Cl1 Cl 0.3333 0.6667 0.7567 1
# V (Å³/cell): 63.4
# Magnetic moment (μB/atom): 0.001

---

Among the structures above, stability is smallest for arrangement P.